DFT (PBE) results for LiTa2PBr after structural relaxation.

Values from the calculation:
Calculated density (g cm⁻³): 5.8
Total magnetization (μB/atom): 0.0000
Calculated total energy (eV per atom): -5.771

Cell: 4.5875 6.4991 4.5875 Å, 90.00 90.00 90.00°
Element x y z (fractional)
1 P 0.0000 0.0000 0.0000
2 Li 0.5000 0.5000 0.5000
3 Br 0.0000 0.5000 0.0000
4 Ta 0.0000 0.0000 0.5000
5 Ta 0.5000 0.0000 0.0000